Entry 1:
First-principles (PBE) data for FeNi4Pt after structural relaxation, as listed in Alexandria via LeMat-Bulk.

The structure belongs to space group Cmmm (No. 65); the cell edges are 3.649, 10.752 and 3.660 Å and the angles 90.00°, 90.00° and 90.00°. The inequivalent atoms are Fe at (0.000, 0.000, 0.000), Ni at (0.000, 0.171, 0.500), Ni at (0.000, 0.331, 0.000) and Pt at (0.000, 0.500, 0.500).

The total DFT energy (no corrections) comes out at -6.3728 eV/atom. As for the energy relative to the elements: -59 kJ/mol of formula units. The crystal system is orthorhombic. The energy above the lowest structure with this stoichiometry is 0 meV per atom.


Entry 2:
First-principles (PBE) data for FeNi3Pt7 after structural relaxation, as listed in Alexandria via LeMat-Bulk.

The structure belongs to space group C2/m (No. 12); the cell edges are 9.119, 9.169 and 4.653 Å and the angles 90.00°, 120.58° and 90.00°. The inequivalent atoms are Fe at (0.000, 0.000, 0.000), Ni at (0.000, 0.269, 0.500), Ni at (0.000, 0.500, 0.000), Pt at (0.000, 0.000, 0.500), Pt at (0.171, 0.266, 0.171) and Pt at (0.176, 0.500, 0.674).

The total DFT energy (no corrections) comes out at -6.0043 eV/atom. As for the energy relative to the elements: 197 kJ/mol of formula units. The crystal system is monoclinic.


Entry 3:
First-principles (PBE) data for Fe3Ni6Pt2 after structural relaxation, as listed in Alexandria via LeMat-Bulk.

The structure belongs to space group P1 (No. 1); the cell edges are 5.128, 5.140 and 6.730 Å and the angles 100.89°, 101.09° and 119.83°. The inequivalent atoms are Fe at (0.000, 0.000, 0.000), Fe at (0.009, 0.646, 0.673), Fe at (0.495, 0.816, 0.314), Ni at (0.002, 0.151, 0.668), Ni at (0.485, 0.460, 0.997), Ni at (0.498, 0.308, 0.327), Ni at (0.505, 0.145, 0.663), Ni at (0.987, 0.307, 0.323), Ni at (0.997, 0.480, 0.991), Pt at (0.503, 0.648, 0.669) and Pt at (0.993, 0.808, 0.324).

The total DFT energy (no corrections) comes out at -6.5546 eV/atom. As for the energy relative to the elements: 6 kJ/mol of formula units. The crystal system is triclinic.


Entry 4:
First-principles (PBE) data for Fe5Ni4Pt4 after structural relaxation, as listed in Alexandria via LeMat-Bulk.

The structure belongs to space group I4/m (No. 87); the cell edges are 9.601, 9.601 and 3.676 Å and the angles 90.00°, 90.00° and 90.00°. The inequivalent atoms are Fe at (0.000, 0.000, 0.000), Fe at (0.040, 0.200, 0.500), Ni at (0.074, 0.390, 0.000) and Pt at (0.145, 0.771, 0.000).

The total DFT energy (no corrections) comes out at -7.0272 eV/atom. As for the energy relative to the elements: -169 kJ/mol of formula units. The crystal system is tetragonal.


Entry 5:
First-principles (PBE) data for FeNiPt6 after structural relaxation, as listed in Alexandria via LeMat-Bulk.

The structure belongs to space group P4/mmm (No. 123); the cell edges are 3.900, 3.900 and 7.786 Å and the angles 90.00°, 90.00° and 90.00°. The inequivalent atoms are Fe at (0.000, 0.000, 0.000), Ni at (0.000, 0.000, 0.500), Pt at (0.000, 0.500, 0.249), Pt at (0.500, 0.500, 0.000) and Pt at (0.500, 0.500, 0.500).

The total DFT energy (no corrections) comes out at -6.4608 eV/atom. As for the energy relative to the elements: -116 kJ/mol of formula units. The crystal system is tetragonal.


Entry 6:
First-principles (PBE) data for Fe2NiPt after structural relaxation, as listed in Alexandria via LeMat-Bulk.

The structure belongs to space group Pmm2 (No. 25); the cell edges are 2.686, 3.527 and 5.391 Å and the angles 90.00°, 90.00° and 90.00°. The inequivalent atoms are Fe at (0.000, 0.000, 0.000), Fe at (0.500, 0.500, 0.253), Ni at (0.000, 0.000, 0.471) and Pt at (0.500, 0.500, 0.743).

The total DFT energy (no corrections) comes out at -7.2901 eV/atom. As for the energy relative to the elements: -40 kJ/mol of formula units. The crystal system is orthorhombic.


Entry 7:
First-principles (PBE) data for Fe3Ni12Pt after structural relaxation, as listed in Alexandria via LeMat-Bulk.

The structure belongs to space group P4/mmm (No. 123); the cell edges are 3.581, 3.581 and 14.209 Å and the angles 90.00°, 90.00° and 90.00°. The inequivalent atoms are Fe at (0.000, 0.000, 0.000), Fe at (0.000, 0.000, 0.246), Ni at (0.000, 0.500, 0.123), Ni at (0.000, 0.500, 0.367), Ni at (0.500, 0.500, 0.000), Ni at (0.500, 0.500, 0.245), Ni at (0.500, 0.500, 0.500) and Pt at (0.000, 0.000, 0.500).

The total DFT energy (no corrections) comes out at -6.3479 eV/atom. As for the energy relative to the elements: -73 kJ/mol of formula units. The crystal system is tetragonal.


Entry 8:
First-principles (PBE) data for Fe7NiPt3 after structural relaxation, as listed in Alexandria via LeMat-Bulk.

The structure belongs to space group Cmcm (No. 63); the cell edges are 2.624, 19.723 and 11.962 Å and the angles 90.00°, 90.00° and 90.00°. The inequivalent atoms are Fe at (0.000, 0.030, 0.088), Fe at (0.000, 0.092, 0.602), Fe at (0.000, 0.107, 0.250), Fe at (0.000, 0.225, 0.588), Ni at (0.000, 0.479, 0.250), Pt at (0.000, 0.335, 0.250) and Pt at (0.000, 0.352, 0.569).

The total DFT energy (no corrections) comes out at -7.4866 eV/atom. As for the energy relative to the elements: 76 kJ/mol of formula units. The crystal system is orthorhombic.


Entry 9:
First-principles (PBE) data for FeNi12Pt6 after structural relaxation, as listed in Alexandria via LeMat-Bulk.

The structure belongs to space group R-3m (No. 166, hexagonal axes); the cell edges are 9.2202, 9.2202 and 12.1505 Å and the angles 90.00°, 90.00° and 120.00°. The inequivalent atoms are Fe at (0.0000, 0.0000, 0.0000), Ni at (0.0000, 0.3674, 0.5000), Ni at (0.0908, 0.1816, 0.2933) and Pt at (0.0072, 0.5036, 0.6893).

The total DFT energy (no corrections) comes out at -5.5789 eV/atom. As for the energy relative to the elements: 780 kJ/mol of formula units. The crystal system is trigonal.


Entry 10:
First-principles (PBE) data for FeNiPt after structural relaxation, as listed in Alexandria via LeMat-Bulk.

The structure belongs to space group C2 (No. 5); the cell edges are 4.589, 7.872 and 4.626 Å and the angles 90.00°, 110.56° and 90.00°. The inequivalent atoms are Fe at (0.000, 0.000, 0.000), Fe at (0.000, 0.184, 0.500), Ni at (0.000, 0.330, 0.000), Ni at (0.000, 0.509, 0.500), Pt at (0.000, 0.661, 0.000) and Pt at (0.000, 0.850, 0.500).

The total DFT energy (no corrections) comes out at -6.9305 eV/atom. As for the energy relative to the elements: -49 kJ/mol of formula units. The crystal system is monoclinic. The energy above the lowest structure with this stoichiometry is 9 meV per atom.


Entry 11:
First-principles (PBE) data for FeNi2Pt5 after structural relaxation, as listed in Alexandria via LeMat-Bulk.

The structure belongs to space group I4/mcm (No. 140); the cell edges are 6.527, 6.527 and 10.853 Å and the angles 90.00°, 90.00° and 90.00°. The inequivalent atoms are Fe at (0.000, 0.000, 0.250), Ni at (0.140, 0.360, 0.000), Pt at (0.000, 0.000, 0.000) and Pt at (0.153, 0.347, 0.342).

The total DFT energy (no corrections) comes out at -6.2746 eV/atom. As for the energy relative to the elements: 3 kJ/mol of formula units. The crystal system is tetragonal.


Entry 12:
First-principles (PBE) data for FeNi6Pt after structural relaxation, as listed in Alexandria via LeMat-Bulk.

The structure belongs to space group P-6m2 (No. 187); the cell edges are 5.1136, 5.1136 and 4.1457 Å and the angles 90.00°, 90.00° and 120.00°. The inequivalent atoms are Fe at (0.0000, 0.0000, 0.0000), Ni at (0.0076, 0.5038, 0.0000), Ni at (0.1677, 0.3354, 0.5000) and Pt at (0.6667, 0.3333, 0.5000).

The total DFT energy (no corrections) comes out at -6.2051 eV/atom. As for the energy relative to the elements: -43 kJ/mol of formula units. The crystal system is hexagonal. The energy above the lowest structure with this stoichiometry is 17 meV per atom.


Entry 13:
First-principles (PBE) data for Fe2NiPt4 after structural relaxation, as listed in Alexandria via LeMat-Bulk.

The structure belongs to space group Pbam (No. 55); the cell edges are 6.239, 11.904 and 2.737 Å and the angles 90.00°, 90.00° and 90.00°. The inequivalent atoms are Fe at (0.237, 0.117, 0.000), Ni at (0.000, 0.500, 0.500), Pt at (0.035, 0.275, 0.500) and Pt at (0.169, 0.910, 0.000).

The total DFT energy (no corrections) comes out at -6.7592 eV/atom. As for the energy relative to the elements: -43 kJ/mol of formula units. The crystal system is orthorhombic.


Entry 14:
First-principles (PBE) data for Fe2Ni5Pt4 after structural relaxation, as listed in Alexandria via LeMat-Bulk.

The structure belongs to space group C2/m (No. 12); the cell edges are 13.512, 3.748 and 5.814 Å and the angles 90.00°, 103.42° and 90.00°. The inequivalent atoms are Fe at (0.097, 0.000, 0.449), Ni at (0.000, 0.000, 0.000), Ni at (0.137, 0.500, 0.191), Ni at (0.228, 0.500, 0.624), Pt at (0.042, 0.500, 0.730) and Pt at (0.183, 0.000, 0.904).

The total DFT energy (no corrections) comes out at -6.4917 eV/atom. As for the energy relative to the elements: -136 kJ/mol of formula units. The crystal system is monoclinic.


Entry 15:
First-principles (PBE) data for FeNiPt after structural relaxation, as listed in Alexandria via LeMat-Bulk.

The structure belongs to space group Cm (No. 8); the cell edges are 8.293, 3.757 and 5.287 Å and the angles 90.00°, 107.93° and 90.00°. The inequivalent atoms are Fe at (0.000, 0.000, 0.000), Fe at (0.171, 0.500, 0.819), Ni at (0.004, 0.000, 0.494), Ni at (0.332, 0.000, 0.151), Pt at (0.163, 0.500, 0.309) and Pt at (0.343, 0.000, 0.669).

The total DFT energy (no corrections) comes out at -6.9187 eV/atom. As for the energy relative to the elements: -45 kJ/mol of formula units. The crystal system is monoclinic. The energy above the lowest structure with this stoichiometry is 21 meV per atom.


Entry 16:
First-principles (PBE) data for Fe2Ni6Pt3 after structural relaxation, as listed in Alexandria via LeMat-Bulk.

The structure belongs to space group C2/c (No. 15); the cell edges are 6.879, 5.609 and 14.635 Å and the angles 90.00°, 94.07° and 90.00°. The inequivalent atoms are Fe at (0.187, 0.042, 0.019), Ni at (0.040, 0.353, 0.561), Ni at (0.092, 0.248, 0.399), Ni at (0.237, 0.153, 0.858), Pt at (0.000, 0.491, 0.750) and Pt at (0.130, 0.056, 0.687).

The total DFT energy (no corrections) comes out at -6.3573 eV/atom. As for the energy relative to the elements: -19 kJ/mol of formula units. The crystal system is monoclinic.


Entry 17:
First-principles (PBE) data for FeNi2Pt after structural relaxation, as listed in Alexandria via LeMat-Bulk.

The structure belongs to space group I-42d (No. 122); the cell edges are 6.584, 6.584 and 5.020 Å and the angles 90.00°, 90.00° and 90.00°. The inequivalent atoms are Fe at (0.000, 0.000, 0.000), Ni at (0.225, 0.750, 0.125) and Pt at (0.000, 0.000, 0.500).

The total DFT energy (no corrections) comes out at -6.2246 eV/atom. As for the energy relative to the elements: 113 kJ/mol of formula units. The crystal system is tetragonal.


Entry 18:
First-principles (PBE) data for Fe8Ni6Pt after structural relaxation, as listed in Alexandria via LeMat-Bulk.

The structure belongs to space group R-3 (No. 148, hexagonal axes); the cell edges are 6.8898, 6.8898 and 14.4972 Å and the angles 90.00°, 90.00° and 120.00°. The inequivalent atoms are Fe at (0.0000, 0.0000, 0.1700), Fe at (0.0037, 0.3123, 0.6177), Ni at (0.0021, 0.6452, 0.5532) and Pt at (0.0000, 0.0000, 0.5000).

The total DFT energy (no corrections) comes out at -6.9725 eV/atom. As for the energy relative to the elements: 371 kJ/mol of formula units. The crystal system is trigonal.


Entry 19:
First-principles (PBE) data for FeNi14Pt after structural relaxation, as listed in Alexandria via LeMat-Bulk.

The structure belongs to space group Amm2 (No. 38); the cell edges are 8.216, 5.056 and 8.736 Å and the angles 90.00°, 90.00° and 90.00°. The inequivalent atoms are Fe at (0.000, 0.000, 0.000), Ni at (0.000, 0.249, 0.249), Ni at (0.250, 0.000, 0.834), Ni at (0.255, 0.247, 0.084), Ni at (0.256, 0.000, 0.331), Ni at (0.500, 0.000, 0.166), Ni at (0.500, 0.000, 0.667), Ni at (0.500, 0.249, 0.916) and Pt at (0.000, 0.000, 0.499).

The total DFT energy (no corrections) comes out at -5.9837 eV/atom. As for the energy relative to the elements: -29 kJ/mol of formula units. The crystal system is orthorhombic.


Entry 20:
First-principles (PBE) data for FeNi2Pt4 after structural relaxation, as listed in Alexandria via LeMat-Bulk.

The structure belongs to space group I-42d (No. 122); the cell edges are 7.436, 7.436 and 7.447 Å and the angles 90.00°, 90.00° and 90.00°. The inequivalent atoms are Fe at (0.000, 0.000, 0.000), Ni at (0.124, 0.250, 0.625) and Pt at (0.081, 0.171, 0.292).

The total DFT energy (no corrections) comes out at -6.1975 eV/atom. As for the energy relative to the elements: 78 kJ/mol of formula units. The crystal system is tetragonal. The energy above the lowest structure with this stoichiometry is 35 meV per atom.